# 1
## Np2Fe12P7 (PBE-GGA)

Data for crystalline Np2Fe12P7 at its relaxed geometry.

a b c (Å): 8.9804 8.9804 3.5940
angles (deg): 90.00 90.00 120.00
With the nearest neighbours (Å) after each atom.
Positions (direct):
Np (0.0000, 0.0000, 0.0000)  6 P 2.87, 12 Fe 2.92-3.22
Np (0.3333, 0.6667, 0.5000)  6 P 2.85, 9 Fe 2.89-3.13
Fe (0.0488, 0.2775, 0.5000)  4 P 2.24-2.31
Fe (0.1013, 0.7036, 0.0000)  4 P 2.24-2.30, 1 Fe 2.49
Fe (0.2287, 0.9512, 0.5000)  4 P 2.24-2.31
Fe (0.2964, 0.3978, 0.0000)  4 P 2.24-2.30, 1 Fe 2.49
Fe (0.3938, 0.1826, 0.0000)  4 P 2.13-2.25
Fe (0.5429, 0.4379, 0.5000)  3 P 2.24-2.45
Fe (0.5621, 0.1050, 0.5000)  3 P 2.24-2.45
Fe (0.6022, 0.8987, 0.0000)  4 P 2.24-2.30, 1 Fe 2.49
Fe (0.7225, 0.7713, 0.5000)  4 P 2.24-2.31
Fe (0.7888, 0.6062, 0.0000)  4 P 2.13-2.25
Fe (0.8174, 0.2112, 0.0000)  4 P 2.13-2.25
Fe (0.8950, 0.4571, 0.5000)  3 P 2.24-2.45
P (0.0711, 0.4408, 0.0000)  5 Fe 2.18-2.26
P (0.2683, 0.2256, 0.5000)  7 Fe 2.24-2.31
P (0.3697, 0.9289, 0.0000)  5 Fe 2.18-2.26
P (0.5592, 0.6303, 0.0000)  5 Fe 2.18-2.26
P (0.6667, 0.3333, 0.0000)  3 Fe 2.13
P (0.7744, 0.0427, 0.5000)  7 Fe 2.24-2.31
P (0.9573, 0.7317, 0.5000)  7 Fe 2.24-2.31

Results
crystal system = hexagonal
calculated total energy = -178.24 eV per formula unit
formation energy = -0.616 eV per atom


# 2
## RePIrO2 (PBE-GGA)

Data for crystalline RePIrO2 at its relaxed geometry.

a b c (Å): 3.6285 3.6285 7.1990
angles (deg): 90.00 90.00 90.00
With the nearest neighbours (Å) after each atom.
Positions (direct):
Re (0.0000, 0.0000, 0.0000)  4 P 2.57
P (0.5000, 0.5000, 0.0000)  4 Re 2.57
Ir (0.5000, 0.5000, 0.5000)  4 O 1.81
O (0.0000, 0.5000, 0.5000)  2 Ir 1.81
O (0.5000, 0.0000, 0.5000)  2 Ir 1.81

Results
crystal system = tetragonal
calculated total energy = -34.39 eV per formula unit
polymorph energy (0 for the lowest one) = 678 meV/atom
E_form (uncorrected) = 448.8 meV/atom